DFT (PBE) results for a relaxed SiOs2Br crystal.

Cell and atoms, written as POSCAR:
```
SiOs2Br
1.0
-3.515 -0.641 -2.519
-3.144 3.032 -0.177
-0.548 2.371 -3.632
Si Os Br
1 2 1
Direct
0.000 0.000 0.000
0.250 0.250 0.250
0.750 0.750 0.750
0.500 0.500 0.500
```

Computed properties:
The final energy comes out at -6.4272 eV/atom. Its formation energy without anion corrections is 0.96 eV/atom.

DFT (PBE) results for a relaxed KRbCd crystal.

Cell and atoms, written as POSCAR:
```
KRbCd
1.0
4.713 0.000 0.000
0.000 6.243 0.000
0.000 -3.122 5.407
K Rb Cd
1 1 1
Direct
0.255 0.333 0.667
0.692 0.667 0.333
0.053 0.000 0.000
```

Computed properties:
The final energy comes out at -0.9380 eV/atom. The formation energy is 0.055 eV/atom.

DFT (PBE) results for a relaxed HfMn2Ge2 crystal.

Cell and atoms, written as POSCAR:
```
HfMn2Ge2
1.0
7.165 0.000 0.000
0.000 7.165 0.000
0.000 0.000 3.001
Ge Mn Hf
4 4 2
Direct
0.356 0.856 0.000
0.856 0.644 0.000
0.644 0.144 0.000
0.144 0.356 0.000
0.148 0.648 0.500
0.648 0.852 0.500
0.852 0.352 0.500
0.352 0.148 0.500
0.000 0.000 0.000
0.500 0.500 0.000
```

Computed properties:
The final energy comes out at -7.6590 eV/atom. The formation energy is -0.154 eV/atom.

DFT (PBE) results for a relaxed CsInO2 crystal.

Cell and atoms, written as POSCAR:
```
CsInO2
1.0
-1.270 -3.530 -0.183
2.426 -0.538 -6.451
6.105 -0.284 1.661
Cs O In
2 4 2
Direct
0.255 0.237 0.736
0.987 0.397 0.200
0.907 0.955 0.040
0.613 0.607 0.452
0.629 0.027 0.484
0.335 0.679 0.896
0.752 0.780 0.731
0.490 0.854 0.205
```

Computed properties:
The final energy comes out at -4.7786 eV/atom. Its formation energy without anion corrections is -1.40 eV/atom.

Fermi-level density of states for every record listed, in sequence, given in states/eV/f.u.: 2.500; 1.701; 3.577; 0.000.